Record 1
This record from Alexandria describes MgAl6FeSi2B2O18 after structural relaxation. The functional is GGA-PBEsol. Values from VASP.

Cell and atoms, written as Quantum ESPRESSO input:
```
&SYSTEM
  ibrav = 0, nat = 60, ntyp = 6
/
ATOMIC_SPECIES
Fe 55.84 Fe.upf
O 16.00 O.upf
Al 26.98 Al.upf
Si 28.09 Si.upf
B 10.81 B.upf
Mg 24.30 Mg.upf
CELL_PARAMETERS angstrom
5.7785 0.0000 0.0000
0.0000 10.3707 0.0000
0.0000 0.0000 11.0447
ATOMIC_POSITIONS angstrom
Fe 2.8893 6.8042 8.6253
O 2.8893 7.5098 4.1982
Al 1.4430 7.7780 5.5106
O 1.5677 7.7154 1.8922
O 0.0000 1.3631 5.7718
O 4.2108 2.6552 7.4146
Al 2.8893 5.4402 6.0965
Al 1.4468 7.7762 0.0124
O 1.3182 2.5164 3.6474
O 1.1828 5.9055 5.5054
O 1.5677 2.6552 7.4146
O 2.8893 2.8609 9.7205
Si 2.8893 3.2722 8.1329
Al 4.3317 2.5945 5.5348
Fe 2.8893 3.5665 3.1029
Si 2.8893 7.0985 2.6106
B 2.8893 10.3596 5.5234
O 0.0000 2.1026 9.9335
O 2.8893 6.5587 10.8404
O 4.0737 9.6519 5.5287
Si 0.0000 1.9050 2.9019
O 4.4604 7.8542 9.1698
O 0.0000 10.1089 8.7051
O 1.7048 0.7188 0.0063
B 0.0000 5.1751 11.0372
O 2.8893 3.8120 5.3180
B 0.0000 5.1955 5.5149
O 4.4604 2.5164 3.6474
O 4.5957 4.4651 11.0277
O 2.8893 7.3000 6.6047
Al 2.8893 4.9305 0.5741
O 0.0000 2.3202 1.3174
Al 1.4468 2.5945 5.5348
Al 4.3355 2.5927 11.0330
Mg 0.0000 8.7448 2.4194
Al 4.3355 7.7780 5.5106
O 0.0000 3.8447 5.5639
O 2.8893 4.9181 7.8508
O 0.0000 8.2681 4.4111
O 4.5957 5.9055 5.5054
Al 0.0000 10.1264 4.9469
Al 4.3317 7.7762 0.0124
Si 0.0000 8.4657 8.4243
O 0.0000 9.0076 0.2494
O 2.8893 3.0707 1.0823
Al 1.4430 2.5927 11.0330
O 0.0000 6.5260 0.0416
O 2.8893 1.3383 5.4859
B 2.8893 0.0111 0.0010
O 1.1828 4.4651 11.0277
O 0.0000 8.0505 6.8398
Al 0.0000 0.2442 10.4692
O 0.0000 0.2617 3.1828
O 4.0737 0.7188 0.0063
O 2.8893 5.4525 2.3284
Mg 0.0000 1.6259 7.9418
O 1.7048 9.6519 5.5287
O 1.3182 7.8542 9.1698
O 4.2108 7.7154 1.8922
O 2.8893 9.0323 11.0083
```

symmetry = Pmc2_1, No. 26
V = 11.03 Å³ per atom
energy = -476.68 eV for the cell shown



Record 2
This record from Alexandria describes Cs2LiSmCl6 after structural relaxation. The functional is GGA-PBEsol. Values from VASP.

Cell and atoms, written as Quantum ESPRESSO input:
```
&SYSTEM
  ibrav = 0, nat = 10, ntyp = 4
/
ATOMIC_SPECIES
Cl 35.45 Cl.upf
Cs 132.91 Cs.upf
Li 6.94 Li.upf
Sm 150.36 Sm.upf
CELL_PARAMETERS angstrom
-7.0263 2.0908 0.9365
-4.5185 0.4871 -5.8278
-5.4609 -4.9044 -0.8618
ATOMIC_POSITIONS angstrom
Cl -9.9933 0.6699 -3.8638
Cl -7.7793 0.4312 -1.0082
Cs -12.7543 -1.7448 -4.3149
Cl -6.5505 -0.3546 -4.3227
Li -8.5028 -1.1632 -2.8766
Sm 0.0000 0.0000 0.0000
Cs -4.2514 -0.5816 -1.4383
Cl -9.2263 -2.7577 -4.7450
Cl -7.0123 -2.9963 -1.8894
Cl -10.4551 -1.9719 -1.4305
```

symmetry = Fm-3m, No. 225
V = 28.54 Å³ per atom
energy = -42.21 eV for the cell shown